Entry 1:
A crystal of TePtO3 relaxed with PBEsol. Source: Alexandria, functional SCAN.

Computed properties:
**Spin magnetization**: 0.00 μB per formula unit
**Energy relative to the elements, uncorrected**: 18 meV per atom
**Volume**: 12.747 Å³ per atom

a = 3.9945 Å, b = 3.9945 Å, c = 3.9945 Å
α = 90.00°, β = 90.00°, γ = 90.00°
With the nearest neighbours (Å) after each atom.
Element x y z (fractional)
Te  0.0000  0.0000  0.0000  12 O 2.82
Pt  0.5000  0.5000  0.5000  6 O 2.00
O  0.0000  0.5000  0.5000  2 Pt 2.00
O  0.5000  0.0000  0.5000  2 Pt 2.00
O  0.5000  0.5000  0.0000  2 Pt 2.00

---

Entry 2:
A crystal of Te3PtO relaxed with PBEsol. Source: Alexandria, functional SCAN.

Computed properties:
**Spin magnetization**: 0.00 μB per formula unit
**Energy relative to the elements, uncorrected**: 614 meV per atom
**Volume**: 20.649 Å³ per atom

a = 4.6913 Å, b = 4.6913 Å, c = 4.6913 Å
α = 90.00°, β = 90.00°, γ = 90.00°
With the nearest neighbours (Å) after each atom.
Element x y z (fractional)
Te  0.0000  0.0000  0.5000  2 O 2.35
Te  0.0000  0.5000  0.0000  2 O 2.35
Te  0.5000  0.0000  0.0000  2 O 2.35
Pt  0.5000  0.5000  0.5000  12 Te 3.32
O  0.0000  0.0000  0.0000  6 Te 2.35

---

Entry 3:
A crystal of Ti2PtO relaxed with PBEsol. Source: Alexandria, functional SCAN.

Computed properties:
**Spin magnetization**: 0.62 μB per formula unit
**Energy relative to the elements, uncorrected**: -1692 meV per atom
**Volume**: 14.158 Å³ per atom

a = 5.2990 Å, b = 5.2990 Å, c = 5.2990 Å
α = 113.10°, β = 113.10°, γ = 102.43°
With the nearest neighbours (Å) after each atom.
Element x y z (fractional)
Ti  0.0436  0.1250  0.4186  2 O 1.95
Ti  0.3750  0.9564  0.0814  2 O 1.95
Ti  0.7064  0.6250  0.5814  2 O 1.95
Ti  0.8750  0.2936  0.9186  2 O 1.95
Pt  0.2500  0.7500  0.5000  4 Ti 2.56
Pt  0.5000  0.5000  0.0000  4 Ti 2.56
O  0.0000  0.0000  0.0000  4 Ti 1.95
O  0.7500  0.2500  0.5000  4 Ti 1.95